Material: PuIn2Te3
Method: DFT, PBE
State: optimized geometry

Structure (CIF):
```
data_PuIn2Te3
_chemical_formula_sum 'Pu2 In4 Te6'
_symmetry_space_group_name_H-M 'P 1'
_symmetry_Int_Tables_number 1
_symmetry_space_group_name_Hall 'P 1'
_cell_length_a 4.276
_cell_length_b 11.456
_cell_length_c 7.440
_cell_angle_alpha 90.00
_cell_angle_beta 90.00
_cell_angle_gamma 90.00
loop_
_atom_site_label
_atom_site_fract_x
_atom_site_fract_y
_atom_site_fract_z
Pu1 0.000 0.113 0.000
Pu2 0.000 0.887 0.500
In1 0.000 0.178 0.434
In2 0.000 0.822 0.934
In3 0.500 0.476 0.464
In4 0.500 0.524 0.964
Te1 0.000 0.367 0.707
Te2 0.000 0.633 0.207
Te3 0.500 0.049 0.699
Te4 0.500 0.291 0.157
Te5 0.500 0.709 0.657
Te6 0.500 0.951 0.199
```

Summary:
D(E_F) (states/eV per cell): 22.81
Energy relative to the elements, uncorrected (eV per atom): -0.562
Energy (eV per atom): -5.434